No. 1
BaMn3P3O12: optimized geometry, GGA+U.

Fermi-level density of states (states/eV/f.u.): 0.3

Lattice parameters (Å, degrees): 9.4614 9.4614 9.4614 137.78 112.21 83.19
Last column: nearest neighbours and their distance in Å.
Fractional positions:
P (0.1792, 0.1792, 0.5000)  4 O 1.53-1.60
O (0.8399, 0.3159, 0.4760)  1 P 1.54
P (0.3208, 0.8208, 0.0000)  4 O 1.53-1.60
O (0.6601, 0.1361, 0.4760)  1 P 1.54
O (0.6587, 0.9420, 0.8613)  1 P 1.53
O (0.1320, 0.5067, 0.1387)  1 P 1.57
O (0.1587, 0.2973, 0.7166)  1 P 1.53
O (0.9193, 0.0580, 0.7166)  1 P 1.53
O (0.1369, 0.6988, 0.8397)  1 P 1.60
P (0.6792, 0.1792, 0.0000)  4 O 1.53-1.60
P (0.7500, 0.3525, 0.6025)  4 O 1.54-1.57
O (0.8591, 0.6988, 0.5618)  1 P 1.60
O (0.8413, 0.7027, 0.2834)  1 P 1.53
Mn (0.1180, 0.6180, 0.0000)  6 O 2.18-2.24
Mn (0.0000, 0.5000, 0.5000)  4 O 2.01
Mn (0.8820, 0.3820, 0.0000)  6 O 2.18-2.24
Ba (0.2500, 0.1349, 0.8849)  8 O 2.77-2.82
O (0.8631, 0.3012, 0.1603)  1 P 1.60
Mn (0.6180, 0.6180, 0.5000)  6 O 2.18-2.24
O (0.3591, 0.7972, 0.1603)  1 P 1.60
Mn (0.3820, 0.3820, 0.5000)  6 O 2.18-2.24
O (0.4193, 0.7027, 0.8613)  1 P 1.53
O (0.3631, 0.2028, 0.5618)  1 P 1.60
O (0.1409, 0.3012, 0.4382)  1 P 1.60
O (0.6369, 0.7972, 0.4382)  1 P 1.60
O (0.3680, 0.5067, 0.3747)  1 P 1.57
O (0.6409, 0.2028, 0.8397)  1 P 1.60
O (0.6320, 0.4933, 0.6253)  1 P 1.57
O (0.8680, 0.4933, 0.8613)  1 P 1.57
O (0.1601, 0.6841, 0.5240)  1 P 1.54
P (0.8208, 0.8208, 0.5000)  4 O 1.53-1.60
Mn (0.5000, 0.0000, 0.5000)  4 O 2.01
P (0.2500, 0.6475, 0.3975)  4 O 1.54-1.57
O (0.3399, 0.8639, 0.5240)  1 P 1.54
O (0.5807, 0.2973, 0.1387)  1 P 1.53
Ba (0.7500, 0.8651, 0.1151)  8 O 2.77-2.82
O (0.3413, 0.0580, 0.1387)  1 P 1.53
O (0.0807, 0.9420, 0.2834)  1 P 1.53

***

No. 2
BaPaMn2O8: optimized geometry, GGA+U.

Lattice parameters (Å, degrees): 6.2710 6.2710 6.2710 105.67 105.67 117.37
Last column: nearest neighbours and their distance in Å.
Fractional positions:
O (0.7845, 0.0972, 0.6873)  1 Mn 1.73
O (0.2909, 0.4485, 0.1577)  1 Mn 1.81
O (0.4099, 0.0972, 0.3127)  1 Mn 1.73
O (0.9028, 0.2155, 0.3127)  1 Mn 1.73
Pa (0.0000, 0.0000, 0.0000)  8 O 2.24-2.45
O (0.2909, 0.1332, 0.8423)  1 Mn 1.81
Mn (0.5000, 0.5000, 0.0000)  4 O 1.81
Mn (0.7500, 0.2500, 0.5000)  4 O 1.73
O (0.9028, 0.5901, 0.6873)  1 Mn 1.73
Ba (0.2500, 0.7500, 0.5000)  8 O 2.61-2.67
O (0.8668, 0.7091, 0.1577)  1 Mn 1.81
O (0.5515, 0.7091, 0.8423)  1 Mn 1.81

***

No. 3
Ba4Pa3MnO12: optimized geometry, GGA+U.

Fermi-level density of states (states/eV/f.u.): 8.1

Lattice parameters (Å, degrees): 7.6718 7.6718 7.6718 109.47 109.47 109.47
Last column: nearest neighbours and their distance in Å.
Fractional positions:
O (0.2500, 0.5000, 0.7500)  2 Pa 2.21
O (0.2500, 0.7500, 0.5000)  2 Pa 2.21
O (0.7426, 0.0000, 0.7426)  1 Pa 2.15, 1 Mn 2.28
Pa (0.5000, 0.0000, 0.5000)  6 O 2.15-2.21
O (0.7500, 0.2500, 0.5000)  2 Pa 2.21
Mn (0.0000, 0.0000, 0.0000)  6 O 2.28
O (0.0000, 0.7426, 0.7426)  1 Pa 2.15, 1 Mn 2.28
Ba (0.0000, 0.0000, 0.5000)  12 O 3.13
O (0.5000, 0.2500, 0.7500)  2 Pa 2.21
O (0.5000, 0.7500, 0.2500)  2 Pa 2.21
O (0.2574, 0.2574, 0.0000)  1 Pa 2.15, 1 Mn 2.28
O (0.7500, 0.5000, 0.2500)  2 Pa 2.21
O (0.0000, 0.2574, 0.2574)  1 Pa 2.15, 1 Mn 2.28
O (0.2574, 0.0000, 0.2574)  1 Pa 2.15, 1 Mn 2.28
Ba (0.5000, 0.5000, 0.5000)  12 O 3.13
Pa (0.5000, 0.5000, 0.0000)  6 O 2.15-2.21
Ba (0.5000, 0.0000, 0.0000)  12 O 3.13
Ba (0.0000, 0.5000, 0.0000)  12 O 3.13
Pa (0.0000, 0.5000, 0.5000)  6 O 2.15-2.21
O (0.7426, 0.7426, 0.0000)  1 Pa 2.15, 1 Mn 2.28

***

No. 4
BaPa2MnO8: optimized geometry, GGA+U.

Lattice parameters (Å, degrees): 5.0790 5.0809 7.1805 87.60 87.67 85.94
Last column: nearest neighbours and their distance in Å.
Fractional positions:
Mn (0.0000, 0.0000, 0.0000)  6 O 1.95-2.11
O (0.6579, 0.6662, 0.5053)  2 Pa 2.19-2.25, 1 O 2.42
O (0.7148, 0.7176, 0.0113)  1 Mn 2.11, 1 Pa 2.16
O (0.2060, 0.8041, 0.8093)  1 Mn 1.95, 1 Pa 2.11
Ba (0.0000, 0.0000, 0.5000)  6 O 2.51-2.62
O (0.1927, 0.7906, 0.1913)  1 Mn 1.95, 1 Pa 2.11
O (0.2852, 0.2824, 0.9887)  1 Mn 2.11, 1 Pa 2.16
O (0.7940, 0.1959, 0.1907)  1 Mn 1.95, 1 Pa 2.11
Pa (0.4850, 0.4850, 0.7601)  5 O 2.11-2.25
O (0.3421, 0.3338, 0.4947)  2 Pa 2.19-2.25, 1 O 2.42
O (0.8073, 0.2094, 0.8087)  1 Mn 1.95, 1 Pa 2.11
Pa (0.5150, 0.5150, 0.2399)  5 O 2.11-2.25

***

No. 5
BaMn2PbO8: optimized geometry, GGA+U.

Fermi-level density of states (states/eV/f.u.): 9.3

Lattice parameters (Å, degrees): 5.4673 5.4673 8.2067 90.00 90.00 120.00
Last column: nearest neighbours and their distance in Å.
Fractional positions:
O (0.2650, 0.9184, 0.7135)  1 Mn 1.68
Ba (0.0000, 0.0000, 0.0000)  12 O 2.91-3.16
O (0.6534, 0.7350, 0.7135)  1 Mn 1.68
O (0.3333, 0.6667, 0.9780)  1 Mn 1.66
O (0.3466, 0.2650, 0.2865)  1 Mn 1.68
Mn (0.3333, 0.6667, 0.7761)  4 O 1.66-1.68
O (0.7350, 0.0816, 0.2865)  1 Mn 1.68
O (0.6667, 0.3333, 0.0220)  1 Mn 1.66
Mn (0.6667, 0.3333, 0.2239)  4 O 1.66-1.68
O (0.9184, 0.6534, 0.2865)  1 Mn 1.68
Pb (0.0000, 0.0000, 0.5000)  6 O 2.45
O (0.0816, 0.3466, 0.7135)  1 Mn 1.68

***

No. 6
BaMnPb2O4: optimized geometry, GGA+U.

Lattice parameters (Å, degrees): 3.6324 6.5202 12.7951 90.00 90.00 106.17
Last column: nearest neighbours and their distance in Å.
Fractional positions:
Ba (0.0923, 0.1847, 0.7500)  6 O 2.77-2.88
O (0.7091, 0.4182, 0.8670)  1 Mn 2.07
Mn (0.8236, 0.6472, 0.7500)  4 O 2.07-2.14
O (0.0000, 0.0000, 0.5000)  4 Pb 2.49
Pb (0.6313, 0.2625, 0.4644)  3 O 2.37-2.49
O (0.0000, 0.0000, 0.0000)  4 Pb 2.49
O (0.7091, 0.4182, 0.6330)  1 Mn 2.07
Mn (0.1764, 0.3528, 0.2500)  4 O 2.07-2.14
O (0.4137, 0.8275, 0.7500)  2 Mn 2.14
Ba (0.9077, 0.8153, 0.2500)  6 O 2.77-2.88
Pb (0.3687, 0.7375, 0.9644)  3 O 2.37-2.49
Pb (0.3687, 0.7375, 0.5356)  3 O 2.37-2.49
O (0.5863, 0.1725, 0.2500)  2 Mn 2.14
Pb (0.6313, 0.2625, 0.0356)  3 O 2.37-2.49
O (0.2909, 0.5818, 0.3670)  1 Mn 2.07
O (0.2909, 0.5818, 0.1330)  1 Mn 2.07

***

no.,E (eV/atom)
1,-7.548
2,-7.524
3,-8.250
4,-8.432
5,-6.210
6,-6.058